[1]
Below is an optimized crystal structure of YOs2, with properties calculated at the PBE-GGA level.

Cell lengths 5.3371, 5.3371, 17.6439 Å; angles 90.00, 90.00, 120.00 degrees
Space group P6_3/mmc (No. 194)
Unique sites:
Y1 0.0000 0.0000 0.0918 x4
Y2 0.3333 0.6667 0.1560 x4
Os1 0.0000 0.5000 0.0000 x6
Os2 0.1620 0.3241 0.7500 x6
Os3 0.3333 0.6667 0.6266 x4



[2]
Below is an optimized crystal structure of Y4Os, with properties calculated at the PBE-GGA level.

Cell lengths 5.434, 5.434, 5.434 Å; angles 90.00, 90.00, 90.00 degrees
Space group Pm-3m (No. 221)
Unique sites:
Y1 0.000 0.000 0.000 x1
Y2 0.000 0.500 0.500 x3
Os1 0.500 0.500 0.500 x1



[3]
Below is an optimized crystal structure of YOs, with properties calculated at the PBE-GGA level.

Cell lengths 5.823, 5.823, 5.653 Å; angles 90.00, 90.00, 90.00 degrees
Space group P4_2/mnm (No. 136)
Unique sites:
Y1 0.196 0.196 0.000 x4
Os1 0.151 0.151 0.500 x4



[4]
Below is an optimized crystal structure of YOs3, with properties calculated at the PBE-GGA level.

Cell lengths 4.045, 4.045, 8.201 Å; angles 90.00, 90.00, 90.00 degrees
Space group I4/mmm (No. 139)
Unique sites:
Y1 0.000 0.000 0.000 x2
Os1 0.000 0.000 0.500 x2
Os2 0.000 0.500 0.250 x4



[5]
Below is an optimized crystal structure of YOs, with properties calculated at the PBE-GGA level.

Cell lengths 5.550, 8.522, 14.559 Å; angles 90.00, 90.00, 90.00 degrees
Space group Fddd (No. 70, origin choice 2)
Unique sites:
Y1 0.125 0.297 0.125 x16
Os1 0.125 0.125 0.543 x16



[6]
Below is an optimized crystal structure of YOs2, with properties calculated at the PBE-GGA level.

Cell lengths 4.1841, 4.1841, 4.2734 Å; angles 90.00, 90.00, 120.00 degrees
Space group P6/mmm (No. 191)
Unique sites:
Y1 0.0000 0.0000 0.0000 x1
Os1 0.3333 0.6667 0.5000 x2



[7]
Below is an optimized crystal structure of Y4Os5, with properties calculated at the PBE-GGA level.

Excess energy over the best structure of this formula in the dataset   103.8 meV/atom

Cell lengths 8.4655, 8.4655, 5.6741 Å; angles 90.00, 90.00, 120.00 degrees
Space group P6_3/mcm (No. 193)
Unique sites:
Y1 0.0000 0.0000 0.0000 x2
Y2 0.0000 0.3731 0.2500 x6
Os1 0.0000 0.3098 0.7500 x6
Os2 0.3333 0.6667 0.0000 x4



[8]
Below is an optimized crystal structure of YOs, with properties calculated at the PBE-GGA level.

Cell lengths 3.0978, 3.0978, 29.9803 Å; angles 90.00, 90.00, 120.00 degrees
Space group R-3m (No. 166, hexagonal axes)
Unique sites:
Y1 0.0000 0.0000 0.1134 x6
Os1 0.0000 0.0000 0.3657 x6



Number 1: DFT formation energy -0.289 eV per atom, V 435.2 Å³/cell. Number 2: DFT formation energy 0.028 eV per atom, V 160.4 Å³/cell. Number 3: DFT formation energy 0.598 eV per atom, V 191.7 Å³/cell. Number 4: DFT formation energy 0.482 eV per atom, V 134.2 Å³/cell. Number 5: DFT formation energy 0.167 eV per atom, V 688.6 Å³/cell. Number 6: DFT formation energy -0.004 eV per atom, V 64.8 Å³/cell. Number 7: DFT formation energy 0.442 eV per atom, V 352.2 Å³/cell. Number 8: DFT formation energy 0.635 eV per atom, V 249.2 Å³/cell.